Record 1
# Ho4ErTm2Ni2Te2

Crystalline Ho4ErTm2Ni2Te2 at its relaxed geometry (GGA-PBE, OQMD).

Energy ... -5.158 eV per atom
Total magnetization ... 0.0 μB/cell

Lattice parameters (Å, degrees): 9.2977 9.2977 9.2977 156.23 66.84 118.56
Closest atoms and distances in Å follow each position.
Element x y z (fractional)
Ho  0.1330  0.0000  0.1330  2 Ni 2.78
Ho  0.5008  0.1473  0.3535  2 Ni 2.81, 2 Te 3.14
Ho  0.7938  0.1473  0.6465  2 Ni 2.81, 2 Te 3.14
Ho  0.8670  0.0000  0.8670  2 Ni 2.78
Er  0.4171  0.4171  0.0000  3 Te 3.15-3.20
Tm  0.1115  0.7965  0.3151  2 Ni 2.77
Tm  0.4814  0.7965  0.6849  2 Ni 2.77
Ni  0.2515  0.4886  0.7629  2 Tm 2.77, 4 Ho 2.78-2.81
Ni  0.7258  0.4886  0.2371  2 Tm 2.77, 4 Ho 2.78-2.81
Te  0.1534  0.6534  0.5000  2 Er 3.15, 4 Ho 3.17, 2 Tm 3.18
Te  0.7541  0.7541  0.0000  6 Ho 3.12-3.14, 1 Er 3.20

***

Record 2
# TbNdMg2Sn2

Crystalline TbNdMg2Sn2 at its relaxed geometry (GGA-PBE, OQMD).

Energy ... -4.011 eV per atom
Total magnetization ... 0.0 μB/cell

Lattice parameters (Å, degrees): 4.4602 4.4602 16.0702 90.00 90.00 90.00
Closest atoms and distances in Å follow each position.
Element x y z (fractional)
Tb  0.0000  0.0000  0.0000  5 Sn 3.19-3.22, 4 Mg 3.46
Tb  0.5000  0.5000  0.5000  5 Sn 3.19-3.22, 4 Mg 3.46
Nd  0.0000  0.0000  0.3319  5 Sn 3.20, 4 Mg 3.49
Nd  0.5000  0.5000  0.8319  5 Sn 3.20, 4 Mg 3.49
Mg  0.0000  0.5000  0.1647  4 Sn 3.09-3.11, 4 Mg 3.15, 2 Tb 3.46
Mg  0.0000  0.5000  0.6647  4 Sn 3.09-3.11, 4 Mg 3.15, 2 Tb 3.46
Mg  0.5000  0.0000  0.1647  4 Sn 3.09-3.11, 4 Mg 3.15, 2 Tb 3.46
Mg  0.5000  0.0000  0.6647  4 Sn 3.09-3.11, 4 Mg 3.15, 2 Tb 3.46
Sn  0.0000  0.0000  0.5312  4 Mg 3.09, 4 Tb 3.19, 1 Nd 3.20
Sn  0.0000  0.0000  0.7999  4 Mg 3.11, 4 Nd 3.20, 1 Tb 3.22
Sn  0.5000  0.5000  0.0312  4 Mg 3.09, 4 Tb 3.19, 1 Nd 3.20
Sn  0.5000  0.5000  0.2999  4 Mg 3.11, 4 Nd 3.20, 1 Tb 3.22

***

Record 3
# Ta4ZnAuN2

Crystalline Ta4ZnAuN2 at its relaxed geometry (GGA-PBE, OQMD).

Energy ... -9.098 eV per atom
Total magnetization ... 0.0 μB/cell

Lattice parameters (Å, degrees): 3.1445 3.1445 13.5030 90.00 90.00 120.00
Closest atoms and distances in Å follow each position.
Element x y z (fractional)
Ta  0.0000  0.0000  0.1612  3 N 2.17
Ta  0.0000  0.0000  0.8388  3 N 2.17
Ta  0.3333  0.6667  0.3343  3 N 2.15
Ta  0.3333  0.6667  0.6657  3 N 2.15
Zn  0.3333  0.6667  0.0000  6 Ta 2.83, 6 Zn 3.14
Au  0.0000  0.0000  0.5000  6 Ta 2.88, 6 Au 3.14
N  0.6667  0.3333  0.2488  6 Ta 2.15-2.17
N  0.6667  0.3333  0.7512  6 Ta 2.15-2.17

***

Record 4
# BiOsPb2

Crystalline BiOsPb2 at its relaxed geometry (GGA-PBE, OQMD).

Energy ... -4.852 eV per atom
Total magnetization ... 0.0 μB/cell

Lattice parameters (Å, degrees): 7.2751 7.2751 7.2751 90.00 90.00 90.00
Closest atoms and distances in Å follow each position.
Element x y z (fractional)
Bi  0.0000  0.0000  0.0000  4 Pb 3.15, 4 Os 3.15
Bi  0.0000  0.5000  0.5000  4 Pb 3.15, 4 Os 3.15
Bi  0.5000  0.0000  0.5000  4 Pb 3.15, 4 Os 3.15
Bi  0.5000  0.5000  0.0000  4 Pb 3.15, 4 Os 3.15
Os  0.2500  0.2500  0.2500  4 Bi 3.15, 4 Pb 3.15
Os  0.2500  0.7500  0.7500  4 Bi 3.15, 4 Pb 3.15
Os  0.7500  0.2500  0.7500  4 Bi 3.15, 4 Pb 3.15
Os  0.7500  0.7500  0.2500  4 Bi 3.15, 4 Pb 3.15
Pb  0.0000  0.0000  0.5000  4 Os 3.15, 4 Pb 3.15
Pb  0.0000  0.5000  0.0000  4 Os 3.15, 4 Pb 3.15
Pb  0.2500  0.2500  0.7500  4 Pb 3.15, 4 Bi 3.15
Pb  0.2500  0.7500  0.2500  4 Pb 3.15, 4 Bi 3.15
Pb  0.5000  0.0000  0.0000  4 Os 3.15, 4 Pb 3.15
Pb  0.5000  0.5000  0.5000  4 Os 3.15, 4 Pb 3.15
Pb  0.7500  0.2500  0.2500  4 Pb 3.15, 4 Bi 3.15
Pb  0.7500  0.7500  0.7500  4 Pb 3.15, 4 Bi 3.15

***

Record 5
# Nb4GaSbN2

Crystalline Nb4GaSbN2 at its relaxed geometry (GGA-PBE, OQMD).

Energy ... -8.592 eV per atom
Total magnetization ... 0.0 μB/cell

Lattice parameters (Å, degrees): 3.2635 3.2635 13.1289 90.00 90.00 120.00
Closest atoms and distances in Å follow each position.
Element x y z (fractional)
Nb  0.0000  0.0000  0.1588  3 N 2.20
Nb  0.0000  0.0000  0.8412  3 N 2.20
Nb  0.3333  0.6667  0.3294  3 N 2.18
Nb  0.3333  0.6667  0.6706  3 N 2.18
Ga  0.3333  0.6667  0.0000  6 Nb 2.81
Sb  0.0000  0.0000  0.5000  6 Nb 2.93, 6 Sb 3.26
N  0.6667  0.3333  0.2457  6 Nb 2.18-2.20
N  0.6667  0.3333  0.7543  6 Nb 2.18-2.20

***

Record 6
# Tb12InCo6

Crystalline Tb12InCo6 at its relaxed geometry (GGA-PBE, OQMD).

Energy ... -5.548 eV per atom
Total magnetization ... 0.1 μB/cell

Lattice parameters (Å, degrees): 8.3900 8.3900 8.3900 109.47 109.47 109.47
Closest atoms and distances in Å follow each position.
Element x y z (fractional)
Tb  0.1097  0.3033  0.8064  3 Co 2.67-2.89
Tb  0.1936  0.4969  0.3033  3 Co 2.67-2.89
Tb  0.1936  0.8903  0.6967  3 Co 2.67-2.89
Tb  0.3033  0.1936  0.4969  3 Co 2.67-2.89
Tb  0.3033  0.8064  0.1097  3 Co 2.67-2.89
Tb  0.4969  0.3033  0.1936  3 Co 2.67-2.89
Tb  0.5031  0.6967  0.8064  3 Co 2.67-2.89
Tb  0.6967  0.1936  0.8903  3 Co 2.67-2.89
Tb  0.6967  0.8064  0.5031  3 Co 2.67-2.89
Tb  0.8064  0.1097  0.3033  3 Co 2.67-2.89
Tb  0.8064  0.5031  0.6967  3 Co 2.67-2.89
Tb  0.8903  0.6967  0.1936  3 Co 2.67-2.89
In  0.0000  0.0000  0.0000  12 Tb 3.49
Co  0.1128  0.5000  0.6128  1 Co 2.18
Co  0.3872  0.8872  0.5000  1 Co 2.18
Co  0.5000  0.3872  0.8872  1 Co 2.18
Co  0.5000  0.6128  0.1128  1 Co 2.18
Co  0.6128  0.1128  0.5000  1 Co 2.18
Co  0.8872  0.5000  0.3872  1 Co 2.18

***

Record 7
# TcAs2O

Crystalline TcAs2O at its relaxed geometry (GGA-PBE, OQMD).

Energy ... -6.144 eV per atom
Total magnetization ... 0.0 μB/cell

Lattice parameters (Å, degrees): 3.4357 3.4357 10.5548 90.00 90.00 90.00
Closest atoms and distances in Å follow each position.
Element x y z (fractional)
Tc  0.2500  0.2500  0.1179  4 O 2.12
Tc  0.7500  0.7500  0.8821  4 O 2.12
As  0.2500  0.2500  0.7554  4 Tc 2.77, 4 O 3.10
As  0.2500  0.7500  0.5000  4 As 2.43
As  0.7500  0.2500  0.5000  4 As 2.43
As  0.7500  0.7500  0.2446  4 Tc 2.77, 4 O 3.10
O  0.2500  0.7500  0.0000  4 Tc 2.12
O  0.7500  0.2500  0.0000  4 Tc 2.12

***

Record 8
# ScBeIr

Crystalline ScBeIr at its relaxed geometry (GGA-PBE, OQMD).

Total magnetization ... 0.0 μB/cell
Offset from the most stable computed form ... 0 meV per atom

Lattice parameters (Å, degrees): 5.9463 5.9463 5.9463 90.00 90.00 90.00
Closest atoms and distances in Å follow each position.
Element x y z (fractional)
Sc  0.0000  0.0000  0.0000  4 Ir 2.57
Sc  0.0000  0.5000  0.5000  4 Ir 2.57
Sc  0.5000  0.0000  0.5000  4 Ir 2.57
Sc  0.5000  0.5000  0.0000  4 Ir 2.57
Be  0.0000  0.0000  0.5000  4 Ir 2.57
Be  0.0000  0.5000  0.0000  4 Ir 2.57
Be  0.5000  0.0000  0.0000  4 Ir 2.57
Be  0.5000  0.5000  0.5000  4 Ir 2.57
Ir  0.2500  0.2500  0.7500  4 Be 2.57, 4 Sc 2.57
Ir  0.2500  0.7500  0.2500  4 Be 2.57, 4 Sc 2.57
Ir  0.7500  0.2500  0.2500  4 Be 2.57, 4 Sc 2.57
Ir  0.7500  0.7500  0.7500  4 Be 2.57, 4 Sc 2.57

***

Record 9
# SrZnIn2

Crystalline SrZnIn2 at its relaxed geometry (GGA-PBE, OQMD).

Energy ... -2.312 eV per atom

Lattice parameters (Å, degrees): 7.5103 7.5103 7.5103 90.00 90.00 90.00
Closest atoms and distances in Å follow each position.
Element x y z (fractional)
Sr  0.0000  0.0000  0.0000  4 In 3.25, 4 Zn 3.25
Sr  0.0000  0.5000  0.5000  4 In 3.25, 4 Zn 3.25
Sr  0.5000  0.0000  0.5000  4 In 3.25, 4 Zn 3.25
Sr  0.5000  0.5000  0.0000  4 In 3.25, 4 Zn 3.25
Zn  0.2500  0.2500  0.2500  4 In 3.25, 4 Sr 3.25
Zn  0.2500  0.7500  0.7500  4 In 3.25, 4 Sr 3.25
Zn  0.7500  0.2500  0.7500  4 In 3.25, 4 Sr 3.25
Zn  0.7500  0.7500  0.2500  4 In 3.25, 4 Sr 3.25
In  0.0000  0.0000  0.5000  4 Zn 3.25, 4 In 3.25
In  0.0000  0.5000  0.0000  4 Zn 3.25, 4 In 3.25
In  0.2500  0.2500  0.7500  4 In 3.25, 4 Sr 3.25
In  0.2500  0.7500  0.2500  4 In 3.25, 4 Sr 3.25
In  0.5000  0.0000  0.0000  4 Zn 3.25, 4 In 3.25
In  0.5000  0.5000  0.5000  4 Zn 3.25, 4 In 3.25
In  0.7500  0.2500  0.2500  4 In 3.25, 4 Sr 3.25
In  0.7500  0.7500  0.7500  4 In 3.25, 4 Sr 3.25

***

Record 10
# HoHf4Ta3

Crystalline HoHf4Ta3 at its relaxed geometry (GGA-PBE, OQMD).

Total magnetization ... 0.0 μB/cell
Calculated formation energy ... 1199.8 meV per atom

Lattice parameters (Å, degrees): 5.7124 5.7124 5.7124 90.00 90.00 90.00
Closest atoms and distances in Å follow each position.
Element x y z (fractional)
Ho  0.0000  0.0000  0.0000  6 Hf 2.86
Hf  0.0000  0.0000  0.5000  4 Ta 2.86, 2 Ho 2.86
Hf  0.0000  0.5000  0.0000  4 Ta 2.86, 2 Ho 2.86
Hf  0.5000  0.0000  0.0000  4 Ta 2.86, 2 Ho 2.86
Hf  0.5000  0.5000  0.5000  6 Ta 2.86
Ta  0.0000  0.5000  0.5000  6 Hf 2.86
Ta  0.5000  0.0000  0.5000  6 Hf 2.86
Ta  0.5000  0.5000  0.0000  6 Hf 2.86

***

Record 11
# CdAg2GeTe2Se2

Crystalline CdAg2GeTe2Se2 at its relaxed geometry (GGA-PBE, OQMD).

Offset from the most stable computed form ... 7 meV per atom

Lattice parameters (Å, degrees): 7.6734 7.6103 6.2237 66.50 65.44 48.06
Closest atoms and distances in Å follow each position.
Element x y z (fractional)
Cd  0.0000  0.0000  0.0000  2 Se 2.79, 2 Te 2.86
Ag  0.2329  0.2329  0.2671  2 Se 2.66, 2 Te 2.79
Ag  0.7329  0.7329  0.7671  2 Se 2.66, 2 Te 2.79
Ge  0.5014  0.5014  0.4986  2 Se 2.45, 2 Te 2.64
Te  0.1384  0.6056  0.3944  1 Ge 2.64, 2 Ag 2.79, 1 Cd 2.86
Te  0.6056  0.1384  0.8616  1 Ge 2.64, 2 Ag 2.79, 1 Cd 2.86
Se  0.3902  0.8448  0.6098  1 Ge 2.45, 2 Ag 2.66
Se  0.8448  0.3902  0.1552  1 Ge 2.45, 2 Ag 2.66

***

Record 12
# Sc2AgPb2

Crystalline Sc2AgPb2 at its relaxed geometry (GGA-PBE, OQMD).

Energy ... -4.311 eV per atom
Total magnetization ... 1.0 μB/cell

Lattice parameters (Å, degrees): 4.7095 4.7095 12.8638 90.00 90.00 90.00
Closest atoms and distances in Å follow each position.
Element x y z (fractional)
Sc  0.0000  0.5000  0.2500  4 Pb 2.96
Sc  0.0000  0.5000  0.7500  4 Pb 2.96
Sc  0.5000  0.0000  0.2500  4 Pb 2.96
Sc  0.5000  0.0000  0.7500  4 Pb 2.96
Ag  0.0000  0.0000  0.0000  8 Pb 3.62, 8 Sc 3.99
Ag  0.5000  0.5000  0.5000  8 Pb 3.62, 8 Sc 3.99
Pb  0.0000  0.0000  0.3892  1 Pb 2.85, 4 Sc 2.96
Pb  0.0000  0.0000  0.6108  1 Pb 2.85, 4 Sc 2.96
Pb  0.5000  0.5000  0.1108  1 Pb 2.85, 4 Sc 2.96
Pb  0.5000  0.5000  0.8892  1 Pb 2.85, 4 Sc 2.96